Run one
! GGA-PBEsol LiV3O4F2, optimized geometry; values from VASP
&SYSTEM
  ibrav = 0, nat = 10, ntyp = 4
/
ATOMIC_SPECIES
Li 6.94 Li.upf
V 50.94 V.upf
O 16.00 O.upf
F 19.00 F.upf
ATOMIC_POSITIONS crystal
Li 0.0000 0.0000 0.0000
V 0.2486 0.4419 0.6079
V 0.5480 0.0842 0.5395
V 0.7506 0.5025 0.1761
O 0.1378 0.9541 0.3590
O 0.4908 0.6291 0.3927
O 0.6105 0.5297 0.8516
O 0.8407 0.3065 0.3787
F 0.3457 0.9564 0.8684
F 0.9661 0.2827 0.8616
CELL_PARAMETERS angstrom
4.9857 0.0000 0.0000
-2.3727 4.4043 0.0000
-0.1540 -2.8586 4.6037
! Space group: P1 (1)
! V (Å³/cell): 101.1
! Total magnetization (μB per formula unit): 6.00

---

Run two
! GGA-PBEsol LiV3O4F2, optimized geometry; values from VASP
&SYSTEM
  ibrav = 0, nat = 40, ntyp = 4
/
ATOMIC_SPECIES
Li 6.94 Li.upf
V 50.94 V.upf
O 16.00 O.upf
F 19.00 F.upf
ATOMIC_POSITIONS crystal
Li 0.2164 0.2500 0.0466
Li 0.2836 0.7500 0.5466
Li 0.7164 0.2500 0.4534
Li 0.7836 0.7500 0.9534
V 0.1040 0.7500 0.9576
V 0.1420 0.0800 0.4888
V 0.1420 0.4200 0.4888
V 0.3580 0.5800 0.9888
V 0.3580 0.9200 0.9888
V 0.3960 0.2500 0.4576
V 0.6040 0.7500 0.5424
V 0.6420 0.0800 0.0112
V 0.6420 0.4200 0.0112
V 0.8580 0.5800 0.5112
V 0.8580 0.9200 0.5112
V 0.8960 0.2500 0.0424
O 0.0548 0.2500 0.2599
O 0.1987 0.5811 0.7546
O 0.1987 0.9189 0.7546
O 0.2300 0.2500 0.6856
O 0.2700 0.7500 0.1856
O 0.3013 0.0811 0.2546
O 0.3013 0.4189 0.2546
O 0.4452 0.7500 0.7599
O 0.5548 0.2500 0.2401
O 0.6987 0.5811 0.7454
O 0.6987 0.9189 0.7454
O 0.7300 0.2500 0.8144
O 0.7700 0.7500 0.3144
O 0.8013 0.0811 0.2454
O 0.8013 0.4189 0.2454
O 0.9452 0.7500 0.7401
F 0.0331 0.5891 0.2637
F 0.0331 0.9109 0.2637
F 0.4669 0.0891 0.7637
F 0.4669 0.4109 0.7637
F 0.5331 0.5891 0.2363
F 0.5331 0.9109 0.2363
F 0.9669 0.0891 0.7363
F 0.9669 0.4109 0.7363
CELL_PARAMETERS angstrom
9.9501 0.0000 0.0000
0.0000 8.3058 0.0000
0.0000 0.0000 4.8529
! Space group: Pnma (62)
! V (Å³/cell): 401.1
! Total magnetization (μB per formula unit): 6.00

---

Most favorable structure: run one. The second most favorable one is 1.3 kJ/mol of atoms above it.

---

Run one
! GGA-PBEsol Li2VOF4, optimized geometry; values from VASP
&SYSTEM
  ibrav = 0, nat = 32, ntyp = 4
/
ATOMIC_SPECIES
Li 6.94 Li.upf
V 50.94 V.upf
O 16.00 O.upf
F 19.00 F.upf
ATOMIC_POSITIONS crystal
Li 0.0288 0.2242 0.2194
Li 0.0383 0.0866 0.9173
Li 0.4617 0.9134 0.4173
Li 0.4712 0.7758 0.7194
Li 0.5288 0.2758 0.7806
Li 0.5383 0.4134 0.0827
Li 0.9617 0.5866 0.5827
Li 0.9712 0.7242 0.2806
V 0.0065 0.5655 0.9385
V 0.4935 0.4345 0.4385
V 0.5065 0.9345 0.0615
V 0.9935 0.0655 0.5615
O 0.2342 0.0335 0.1116
O 0.2658 0.9665 0.6116
O 0.7342 0.4665 0.8884
O 0.7658 0.5335 0.3884
F 0.0637 0.0166 0.3664
F 0.1297 0.3279 0.5322
F 0.1421 0.6444 0.7619
F 0.2321 0.3386 0.9282
F 0.2679 0.6614 0.4282
F 0.3579 0.3556 0.2619
F 0.3703 0.6721 0.0322
F 0.4363 0.9834 0.8664
F 0.5637 0.4834 0.6336
F 0.6297 0.1721 0.4678
F 0.6421 0.8556 0.2381
F 0.7321 0.1614 0.0718
F 0.7679 0.8386 0.5718
F 0.8579 0.1444 0.7381
F 0.8703 0.8279 0.9678
F 0.9363 0.5166 0.1336
CELL_PARAMETERS angstrom
5.0682 0.0000 0.0000
0.0000 6.8494 0.0000
0.0000 0.0000 9.5907
! Space group: P2_12_12_1 (19)
! V (Å³/cell): 332.9
! Total magnetization (μB per formula unit): 1.00

---

Run two
! GGA-PBEsol Li2VOF4, optimized geometry; values from VASP
&SYSTEM
  ibrav = 0, nat = 16, ntyp = 4
/
ATOMIC_SPECIES
Li 6.94 Li.upf
V 50.94 V.upf
O 16.00 O.upf
F 19.00 F.upf
ATOMIC_POSITIONS crystal
Li 0.1361 0.1490 0.2453
Li 0.1490 0.1361 0.7453
Li 0.8510 0.8639 0.2547
Li 0.8639 0.8510 0.7547
V 0.5000 0.5000 0.0000
V 0.5000 0.5000 0.5000
O 0.3676 0.6324 0.7500
O 0.6324 0.3676 0.2500
F 0.0872 0.7387 0.0398
F 0.1603 0.4836 0.3599
F 0.2613 0.9128 0.4602
F 0.4836 0.1603 0.8599
F 0.5164 0.8397 0.1401
F 0.7387 0.0872 0.5398
F 0.8397 0.5164 0.6401
F 0.9128 0.2613 0.9602
CELL_PARAMETERS angstrom
5.0997 -2.4747 0.0000
5.0997 2.4747 0.0000
-2.4045 0.0000 6.3754
! Space group: C2/c (15)
! V (Å³/cell): 160.9
! Total magnetization (μB per formula unit): 1.00

---

Run three
! GGA-PBEsol Li2VOF4, optimized geometry; values from VASP
&SYSTEM
  ibrav = 0, nat = 16, ntyp = 4
/
ATOMIC_SPECIES
Li 6.94 Li.upf
V 50.94 V.upf
O 16.00 O.upf
F 19.00 F.upf
ATOMIC_POSITIONS crystal
Li 0.1322 0.8678 0.5592
Li 0.1322 0.8678 0.9408
Li 0.8678 0.1322 0.0592
Li 0.8678 0.1322 0.4408
V 0.1852 0.8148 0.2500
V 0.8148 0.1852 0.7500
O 0.2882 0.7118 0.7500
O 0.7118 0.2882 0.2500
F 0.0508 0.9492 0.1192
F 0.0508 0.9492 0.3808
F 0.3098 0.6902 0.0958
F 0.3098 0.6902 0.4042
F 0.6902 0.3098 0.5958
F 0.6902 0.3098 0.9042
F 0.9492 0.0508 0.6192
F 0.9492 0.0508 0.8808
CELL_PARAMETERS angstrom
1.7779 -4.9783 0.0000
1.7779 4.9783 0.0000
0.0000 0.0000 9.9885
! Space group: Cmcm (63)
! V (Å³/cell): 176.8
! Total magnetization (μB per formula unit): 1.00

---

Most favorable structure: run three. The second most favorable one is 0.7 kJ/mol of atoms above it.

---

Run one
! GGA-PBEsol Li2VOF4, optimized geometry; values from VASP
&SYSTEM
  ibrav = 0, nat = 32, ntyp = 4
/
ATOMIC_SPECIES
Li 6.94 Li.upf
V 50.94 V.upf
O 16.00 O.upf
F 19.00 F.upf
ATOMIC_POSITIONS crystal
Li 0.1422 0.2371 0.0000
Li 0.1552 0.9576 0.1497
Li 0.3448 0.4576 0.6497
Li 0.3578 0.7371 0.5000
Li 0.6422 0.2629 0.0000
Li 0.6552 0.5424 0.1497
Li 0.8448 0.0424 0.6497
Li 0.8578 0.7629 0.5000
V 0.1749 0.5706 0.0965
V 0.3251 0.0706 0.5965
V 0.6749 0.9294 0.0965
V 0.8251 0.4294 0.5965
O 0.2230 0.1405 0.3416
O 0.2770 0.6405 0.8416
O 0.7230 0.3595 0.3416
O 0.7770 0.8595 0.8416
F 0.0855 0.4562 0.4688
F 0.0968 0.0622 0.8286
F 0.0966 0.7071 0.3150
F 0.2304 0.4041 0.9916
F 0.2696 0.9041 0.4916
F 0.4034 0.2071 0.8150
F 0.4032 0.5622 0.3286
F 0.4145 0.9562 0.9688
F 0.5855 0.0438 0.4688
F 0.5968 0.4378 0.8286
F 0.5966 0.7929 0.3150
F 0.7304 0.0959 0.9916
F 0.7696 0.5959 0.4916
F 0.9034 0.2929 0.8150
F 0.9032 0.9378 0.3286
F 0.9145 0.5438 0.9688
CELL_PARAMETERS angstrom
6.8671 0.0000 0.0000
0.0000 10.6770 0.0000
0.0000 0.0000 4.9393
! Space group: Pna2_1 (33)
! V (Å³/cell): 362.2
! Total magnetization (μB per formula unit): 1.00

---

Run two
! GGA-PBEsol Li2VOF4, optimized geometry; values from VASP
&SYSTEM
  ibrav = 0, nat = 16, ntyp = 4
/
ATOMIC_SPECIES
Li 6.94 Li.upf
V 50.94 V.upf
O 16.00 O.upf
F 19.00 F.upf
ATOMIC_POSITIONS crystal
Li 0.1355 0.0000 0.2725
Li 0.1850 0.6733 0.3713
Li 0.8150 0.1733 0.6287
Li 0.8645 0.5000 0.7275
V 0.1411 0.3635 0.2786
V 0.8589 0.8635 0.7214
O 0.3358 0.8556 0.6733
O 0.6642 0.3556 0.3267
F 0.0375 0.7984 0.0764
F 0.0550 0.5321 0.1076
F 0.2288 0.1843 0.4564
F 0.3077 0.4730 0.6142
F 0.6923 0.9730 0.3859
F 0.7712 0.6843 0.5436
F 0.9450 0.0321 0.8924
F 0.9625 0.2984 0.9236
CELL_PARAMETERS angstrom
3.5685 0.0000 0.0000
0.0000 10.0233 0.0000
-1.7820 0.0000 4.8764
! Space group: P2_1 (4)
! V (Å³/cell): 174.4
! Total magnetization (μB per formula unit): 1.00

---

Most favorable structure: run two. The second most favorable one is 2.6 kJ/mol of atoms above it.

---

Run one
! GGA-PBEsol Li7VO5F, optimized geometry; values from VASP
&SYSTEM
  ibrav = 0, nat = 28, ntyp = 4
/
ATOMIC_SPECIES
Li 6.94 Li.upf
V 50.94 V.upf
O 16.00 O.upf
F 19.00 F.upf
ATOMIC_POSITIONS crystal
Li 0.0145 0.4417 0.3064
Li 0.0728 0.8892 0.3299
Li 0.2103 0.4289 0.9332
Li 0.2374 0.8909 0.9750
Li 0.3000 0.3838 0.5348
Li 0.3961 0.9043 0.5889
Li 0.4075 0.2672 0.1553
Li 0.5925 0.7328 0.8447
Li 0.6039 0.0957 0.4111
Li 0.7000 0.6162 0.4652
Li 0.7626 0.1091 0.0250
Li 0.7897 0.5711 0.0668
Li 0.9272 0.1108 0.6701
Li 0.9855 0.5583 0.6936
V 0.4305 0.7034 0.2062
V 0.5695 0.2966 0.7938
O 0.1154 0.4123 0.1289
O 0.2756 0.4131 0.7287
O 0.3224 0.9647 0.2090
O 0.3797 0.7099 0.4193
O 0.4629 0.2370 0.9662
O 0.5371 0.7630 0.0338
O 0.6203 0.2901 0.5807
O 0.6776 0.0353 0.7910
O 0.7244 0.5869 0.2713
O 0.8846 0.5877 0.8711
F 0.0333 0.8448 0.6116
F 0.9667 0.1552 0.3884
CELL_PARAMETERS angstrom
5.1635 0.0000 0.0000
-2.1265 5.4408 0.0000
-2.4101 -1.8235 9.1382
! Space group: P-1 (2)
! V (Å³/cell): 256.7
! Total magnetization (μB per formula unit): 1.00

---

Run two
! GGA-PBEsol Li7VO5F, optimized geometry; values from VASP
&SYSTEM
  ibrav = 0, nat = 14, ntyp = 4
/
ATOMIC_SPECIES
Li 6.94 Li.upf
V 50.94 V.upf
O 16.00 O.upf
F 19.00 F.upf
ATOMIC_POSITIONS crystal
Li 0.0000 0.0000 0.0000
Li 0.0279 0.8139 0.6097
Li 0.2670 0.4317 0.9793
Li 0.3785 0.2157 0.6363
Li 0.5528 0.7046 0.9778
Li 0.7459 0.4449 0.6764
Li 0.8113 0.3107 0.2768
V 0.5346 0.9109 0.2967
O 0.2581 0.0433 0.1082
O 0.4346 0.5534 0.5490
O 0.6104 0.2924 0.0803
O 0.6789 0.8613 0.5642
O 0.8615 0.7063 0.0660
F 0.0972 0.1496 0.5893
CELL_PARAMETERS angstrom
5.4587 0.0000 0.0000
2.7244 4.7868 0.0000
2.6385 1.6246 4.7135
! Space group: P1 (1)
! V (Å³/cell): 123.2
! Total magnetization (μB per formula unit): 1.00

---

Most favorable structure: run one. The second most favorable one is 3.2 kJ/mol of atoms above it.

---

Run one
! GGA-PBEsol LiV2OF5, optimized geometry; values from VASP
&SYSTEM
  ibrav = 0, nat = 27, ntyp = 4
/
ATOMIC_SPECIES
Li 6.94 Li.upf
V 50.94 V.upf
O 16.00 O.upf
F 19.00 F.upf
ATOMIC_POSITIONS crystal
Li 0.0000 0.3053 0.1667
Li 0.3053 0.0000 0.8333
Li 0.6947 0.6947 0.5000
V 0.0076 0.3192 0.4205
V 0.3116 0.9924 0.0872
V 0.3192 0.0076 0.5795
V 0.6808 0.6884 0.7538
V 0.6884 0.6808 0.2462
V 0.9924 0.3116 0.9128
O 0.0000 0.9138 0.1667
O 0.0862 0.0862 0.5000
O 0.9138 0.0000 0.8333
F 0.0000 0.7102 0.6667
F 0.0744 0.6862 0.9870
F 0.2898 0.2898 0.0000
F 0.3123 0.6325 0.8261
F 0.3138 0.3882 0.3204
F 0.3203 0.6878 0.4927
F 0.3675 0.6797 0.1594
F 0.3882 0.3138 0.6796
F 0.6118 0.9256 0.6537
F 0.6325 0.3123 0.1739
F 0.6797 0.3675 0.8406
F 0.6862 0.0744 0.0130
F 0.6878 0.3203 0.5073
F 0.7102 0.0000 0.3333
F 0.9256 0.6118 0.3463
CELL_PARAMETERS angstrom
5.0897 0.0000 0.0000
-2.5449 4.4078 0.0000
0.0000 0.0000 13.4949
! Space group: P3_121 (152)
! V (Å³/cell): 302.8
! Total magnetization (μB per formula unit): 4.00

---

Run two
! GGA-PBEsol LiV2OF5, optimized geometry; values from VASP
&SYSTEM
  ibrav = 0, nat = 27, ntyp = 4
/
ATOMIC_SPECIES
Li 6.94 Li.upf
V 50.94 V.upf
O 16.00 O.upf
F 19.00 F.upf
ATOMIC_POSITIONS crystal
Li 0.0076 0.6696 0.0000
Li 0.3304 0.3381 0.6667
Li 0.6619 0.9924 0.3333
V 0.0313 0.6922 0.2063
V 0.3078 0.3391 0.8730
V 0.3358 0.3071 0.3617
V 0.6609 0.9687 0.5397
V 0.6929 0.0287 0.0284
V 0.9713 0.6642 0.6950
O 0.0008 0.2753 0.9506
O 0.2745 0.9992 0.2839
O 0.7247 0.7255 0.6172
F 0.0232 0.3583 0.2848
F 0.0532 0.0193 0.7769
F 0.2757 0.6109 0.7750
F 0.3352 0.7243 0.1083
F 0.3351 0.9768 0.6181
F 0.3635 0.0275 0.9476
F 0.3891 0.6648 0.4416
F 0.6232 0.2616 0.4465
F 0.6383 0.3768 0.7799
F 0.6417 0.6649 0.9515
F 0.6640 0.6365 0.2809
F 0.7384 0.3617 0.1132
F 0.9661 0.9468 0.1102
F 0.9725 0.3360 0.6142
F 0.9807 0.0339 0.4436
CELL_PARAMETERS angstrom
5.0541 0.0000 0.0000
-2.5270 4.3770 0.0000
0.0000 0.0000 13.6695
! Space group: P3_2 (145)
! V (Å³/cell): 302.4
! Total magnetization (μB per formula unit): 4.00

---

Most favorable structure: run two. The second most favorable one is 0.5 kJ/mol of atoms above it.

---

Run one
! GGA-PBEsol Li2VOF3, optimized geometry; values from VASP
&SYSTEM
  ibrav = 0, nat = 14, ntyp = 4
/
ATOMIC_SPECIES
Li 6.94 Li.upf
V 50.94 V.upf
O 16.00 O.upf
F 19.00 F.upf
ATOMIC_POSITIONS crystal
Li 0.0000 0.0000 0.0000
Li 0.0064 0.7162 0.7002
Li 0.4652 0.2203 0.7209
Li 0.4867 0.4974 0.0040
V 0.0215 0.2840 0.2881
V 0.4632 0.7853 0.2885
O 0.1988 0.6094 0.2032
O 0.2922 0.1326 0.1544
F 0.1351 0.0851 0.6608
F 0.3517 0.6044 0.6616
F 0.6502 0.8935 0.9465
F 0.6795 0.4091 0.4121
F 0.8058 0.9142 0.3961
F 0.8378 0.3971 0.9479
CELL_PARAMETERS angstrom
4.9776 0.0000 0.0000
0.0274 5.3746 0.0000
0.0644 2.6563 5.1647
! Space group: P1 (1)
! V (Å³/cell): 138.2
! Total magnetization (μB per formula unit): 2.00

---

Run two
! GGA-PBEsol Li2VOF3, optimized geometry; values from VASP
&SYSTEM
  ibrav = 0, nat = 14, ntyp = 4
/
ATOMIC_SPECIES
Li 6.94 Li.upf
V 50.94 V.upf
O 16.00 O.upf
F 19.00 F.upf
ATOMIC_POSITIONS crystal
Li 0.0000 0.0000 0.0000
Li 0.0000 0.0000 0.5000
Li 0.3766 0.3766 0.5986
Li 0.6234 0.6234 0.4014
V 0.0000 0.5000 0.0000
V 0.5000 0.0000 0.0000
O 0.2428 0.2428 0.2058
O 0.7572 0.7572 0.7942
F 0.2252 0.7470 0.2425
F 0.2453 0.2453 0.7468
F 0.2530 0.7748 0.7575
F 0.7470 0.2252 0.2425
F 0.7547 0.7547 0.2532
F 0.7748 0.2530 0.7575
CELL_PARAMETERS angstrom
5.0967 -2.8550 0.0000
5.0967 2.8550 0.0000
-3.2756 0.0000 4.8597
! Space group: C2/m (12)
! V (Å³/cell): 141.4
! Total magnetization (μB per formula unit): 2.00

---

Most favorable structure: run one. The second most favorable one is 1.5 kJ/mol of atoms above it.